A geometry-optimized BaCdCoO3 structure, computed with GGA+U.

Properties
* E: -5.2581 eV/atom

Cell: 3.548 7.286 8.003 Å, 103.29 90.00 90.00°
Each line ends with the local moment (μB).
Atoms (fractional coordinates):
Cd 0.750 0.349 0.867  0.00
O 0.750 0.452 0.164  0.01
Ba 0.750 0.798 0.782  0.01
Co 0.250 0.120 0.612  2.62
O 0.250 0.834 0.492  0.17
Co 0.750 0.880 0.388  2.62
O 0.750 0.883 0.143  0.07
O 0.750 0.166 0.508  0.17
O 0.250 0.117 0.857  0.07
Ba 0.250 0.202 0.218  0.01
O 0.250 0.548 0.836  0.01
Cd 0.250 0.651 0.133  0.00